First-principles (PBE-GGA) data for Ag6Se2S after structural relaxation, as listed in Alexandria via LeMat-Bulk.

a b c (Å): 5.859 5.859 12.519
angles (deg): 90.00 90.00 90.00
Fractional positions:
1 Ag 0.174 0.826 0.500
2 Ag 0.326 0.326 0.000
3 Se 0.000 0.000 0.710
4 Ag 0.826 0.174 0.500
5 S 0.500 0.500 0.500
6 Ag 0.269 0.269 0.622
7 Ag 0.731 0.731 0.622
8 Ag 0.269 0.269 0.378
9 Ag 0.231 0.769 0.878
10 Ag 0.769 0.231 0.122
11 Se 0.500 0.500 0.790
12 Ag 0.769 0.231 0.878
13 Se 0.500 0.500 0.210
14 Ag 0.731 0.731 0.378
15 Se 0.000 0.000 0.290
16 Ag 0.674 0.674 0.000
17 S 0.000 0.000 0.000
18 Ag 0.231 0.769 0.122

---

First-principles (PBE-GGA) data for Ag7SeS3 after structural relaxation, as listed in Alexandria via LeMat-Bulk.

a b c (Å): 6.100 6.100 8.099
angles (deg): 62.25 62.25 83.57
Fractional positions:
1 S 0.230 0.737 0.490
2 Ag 0.921 0.369 0.814
3 S 0.458 0.458 0.005
4 Ag 0.962 0.962 0.689
5 Ag 0.482 0.482 0.673
6 Ag 0.369 0.921 0.814
7 Ag 0.132 0.575 0.296
8 S 0.737 0.230 0.490
9 Se 0.876 0.876 0.065
10 Ag 0.132 0.132 0.119
11 Ag 0.575 0.132 0.296

---

First-principles (PBE-GGA) data for Ag7Se3S after structural relaxation, as listed in Alexandria via LeMat-Bulk.

a b c (Å): 6.199 6.199 8.193
angles (deg): 63.03 63.03 83.51
Fractional positions:
1 Se 0.222 0.747 0.488
2 Se 0.479 0.479 0.001
3 Ag 0.110 0.601 0.280
4 Ag 0.601 0.110 0.280
5 Ag 0.899 0.899 0.747
6 Ag 0.480 0.480 0.678
7 S 0.895 0.895 0.056
8 Ag 0.143 0.143 0.120
9 Ag 0.952 0.345 0.807
10 Ag 0.345 0.952 0.807
11 Se 0.747 0.222 0.488

---

First-principles (PBE-GGA) data for Ag8SeS2 after structural relaxation, as listed in Alexandria via LeMat-Bulk.

a b c (Å): 4.673 7.869 7.998
angles (deg): 125.78 106.98 90.00
Fractional positions:
1 Ag 0.930 0.621 0.860
2 S 0.136 0.787 0.272
3 S 0.864 0.213 0.728
4 Ag 0.864 0.888 0.728
5 Ag 0.070 0.379 0.140
6 Ag 0.694 0.390 0.387
7 Ag 0.627 0.680 0.255
8 Ag 0.136 0.112 0.272
9 Ag 0.373 0.320 0.745
10 Se 0.500 0.000 0.000
11 Ag 0.306 0.610 0.613

---

First-principles (PBE-GGA) data for Ag3Se5S12 after structural relaxation, as listed in Alexandria via LeMat-Bulk.

a b c (Å): 13.702 13.702 13.702
angles (deg): 109.47 109.47 109.47
Fractional positions:
1 Se 0.375 0.250 0.125
2 Ag 0.125 0.250 0.875
3 Se 0.750 0.625 0.375
4 Se 0.750 0.125 0.875
5 Se 0.000 0.500 0.000
6 Ag 0.375 0.750 0.625
7 S 0.152 0.685 0.523
8 S 0.977 0.348 0.315
9 S 0.966 0.838 0.815
10 S 0.652 0.629 0.966
11 S 0.977 0.629 0.162
12 S 0.129 0.162 0.477
13 Se 0.625 0.750 0.875
14 S 0.023 0.371 0.838
15 Ag 0.625 0.250 0.375
16 S 0.338 0.815 0.466
17 S 0.966 0.129 0.652
18 S 0.348 0.371 0.034
19 S 0.871 0.838 0.523
20 S 0.848 0.534 0.871
21 Se 0.875 0.250 0.625
22 S 0.162 0.129 0.977
23 S 0.662 0.185 0.534
24 Se 0.000 0.000 0.000
25 Ag 0.625 0.375 0.750
26 S 0.371 0.023 0.338
27 Ag 0.375 0.625 0.250
28 Se 0.500 0.500 0.000
29 S 0.185 0.523 0.652
30 Ag 0.250 0.125 0.375
31 S 0.534 0.848 0.371
32 S 0.534 0.685 0.662
33 Se 0.000 0.000 0.500
34 Ag 0.125 0.875 0.750
35 Ag 0.875 0.750 0.125
36 S 0.629 0.652 0.466
37 Ag 0.875 0.125 0.250
38 S 0.523 0.338 0.871
39 Se 0.500 0.000 0.000
40 Se 0.625 0.875 0.250
41 Se 0.125 0.375 0.250
42 Ag 0.750 0.875 0.625
43 S 0.152 0.466 0.129
44 S 0.662 0.477 0.629
45 Se 0.500 0.000 0.500
46 S 0.162 0.034 0.685
47 S 0.838 0.871 0.023
48 S 0.348 0.977 0.815
49 S 0.034 0.162 0.185
50 S 0.685 0.534 0.162
51 S 0.652 0.023 0.185
52 Ag 0.250 0.625 0.875
53 S 0.315 0.466 0.838
54 S 0.685 0.152 0.023
55 S 0.034 0.871 0.348
56 S 0.629 0.977 0.662
57 Se 0.500 0.500 0.500
58 S 0.023 0.652 0.685
59 S 0.338 0.523 0.371
60 S 0.477 0.815 0.848
61 S 0.466 0.315 0.338
62 Se 0.375 0.125 0.750
63 S 0.477 0.662 0.129
64 Se 0.125 0.750 0.375
65 Ag 0.750 0.375 0.125
66 S 0.371 0.348 0.534
67 S 0.185 0.662 0.034
68 S 0.815 0.338 0.966
69 S 0.815 0.477 0.348
70 S 0.848 0.315 0.477
71 Se 0.250 0.375 0.625
72 Se 0.875 0.625 0.750
73 S 0.838 0.966 0.315
74 S 0.871 0.034 0.848
75 S 0.523 0.185 0.152
76 S 0.466 0.152 0.629
77 Se 0.000 0.500 0.500
78 S 0.129 0.966 0.152
79 Se 0.250 0.875 0.125
80 S 0.315 0.848 0.977

---

First-principles (PBE-GGA) data for Ag6SeS3 after structural relaxation, as listed in Alexandria via LeMat-Bulk.

a b c (Å): 6.348 6.427 10.306
angles (deg): 90.00 89.61 90.00
Fractional positions:
1 Se 0.000 0.000 0.000
2 Ag 0.146 0.365 0.088
3 Ag 0.865 0.655 0.590
4 S 0.058 0.443 0.748
5 S 0.558 0.057 0.248
6 S 0.442 0.943 0.752
7 Ag 0.354 0.865 0.412
8 Ag 0.646 0.135 0.588
9 Ag 0.854 0.635 0.912
10 S 0.942 0.557 0.252
11 S 0.500 0.500 0.000
12 Ag 0.135 0.345 0.410
13 S 0.000 0.000 0.500
14 Ag 0.060 0.049 0.744
15 Ag 0.940 0.951 0.256
16 Ag 0.440 0.549 0.756
17 Se 0.500 0.500 0.500
18 Ag 0.635 0.155 0.910
19 Ag 0.560 0.451 0.244
20 Ag 0.365 0.845 0.090

---

First-principles (PBE-GGA) data for AgSeS5 after structural relaxation, as listed in Alexandria via LeMat-Bulk.

a b c (Å): 10.963 10.524 6.342
angles (deg): 76.34 70.49 39.18
Fractional positions:
1 S 0.742 0.083 0.622
2 S 0.130 0.564 0.919
3 S 0.478 0.890 0.320
4 S 0.870 0.436 0.081
5 Ag 0.000 0.000 0.000
6 S 0.258 0.917 0.378
7 S 0.029 0.125 0.628
8 S 0.270 0.409 0.625
9 S 0.522 0.110 0.680
10 Se 0.296 0.616 0.920
11 Ag 0.500 0.500 0.500
12 Se 0.704 0.384 0.080
13 S 0.972 0.875 0.372
14 S 0.730 0.591 0.375

---

First-principles (PBE-GGA) data for Ag2SeS2 after structural relaxation, as listed in Alexandria via LeMat-Bulk.

a b c (Å): 3.805 5.568 9.760
angles (deg): 90.00 101.24 90.00
Fractional positions:
1 S 0.607 0.624 0.214
2 S 0.198 0.099 0.396
3 Ag 0.016 0.540 0.031
4 S 0.393 0.124 0.786
5 Ag 0.984 0.040 0.969
6 Ag 0.213 0.584 0.426
7 Se 0.414 0.519 0.828
8 Ag 0.787 0.084 0.574
9 Se 0.586 0.019 0.172
10 S 0.802 0.599 0.604

---

First-principles (PBE-GGA) data for AgSe3S6 after structural relaxation, as listed in Alexandria via LeMat-Bulk.

a b c (Å): 4.543 9.755 8.783
angles (deg): 93.03 130.76 89.87
Fractional positions:
1 S 0.648 0.543 0.075
2 Ag 0.611 0.052 0.055
3 Se 0.391 0.333 0.054
4 S 0.208 0.667 0.892
5 S 0.204 0.969 0.686
6 S 0.465 0.359 0.334
7 Se 0.095 0.643 0.598
8 S 0.040 0.413 0.558
9 S 0.686 0.053 0.533
10 Se 0.313 0.967 0.215

---

First-principles (PBE-GGA) data for Ag8Se2S after structural relaxation, as listed in Alexandria via LeMat-Bulk.

a b c (Å): 4.144 7.138 7.565
angles (deg): 103.80 105.90 90.00
Fractional positions:
1 Ag 0.125 0.164 0.251
2 S 0.500 0.000 0.000
3 Ag 0.044 0.704 0.088
4 Ag 0.404 0.540 0.809
5 Se 0.764 0.308 0.528
6 Se 0.236 0.692 0.472
7 Ag 0.678 0.904 0.356
8 Ag 0.322 0.096 0.644
9 Ag 0.596 0.460 0.191
10 Ag 0.956 0.296 0.912
11 Ag 0.875 0.836 0.749

---

First-principles (PBE-GGA) data for AgSe2S after structural relaxation, as listed in Alexandria via LeMat-Bulk.

a b c (Å): 5.477 5.477 7.889
angles (deg): 69.69 69.69 90.00
Fractional positions:
1 S 0.250 0.750 0.500
2 Se 0.375 0.413 0.750
3 Se 0.875 0.837 0.750
4 Ag 0.750 0.250 0.500
5 Se 0.587 0.125 0.250
6 Se 0.163 0.625 0.250
7 Ag 0.000 0.000 0.000
8 S 0.500 0.500 0.000

---

First-principles (PBE-GGA) data for Ag7Se2S2 after structural relaxation, as listed in Alexandria via LeMat-Bulk.

a b c (Å): 6.154 6.226 6.226
angles (deg): 85.93 90.96 90.96
Fractional positions:
1 Ag 0.662 0.525 0.525
2 Se 0.620 0.816 0.816
3 Se 0.470 0.260 0.260
4 Ag 0.244 0.951 0.951
5 Ag 0.342 0.880 0.494
6 Ag 0.821 0.475 0.078
7 Ag 0.342 0.494 0.880
8 Ag 0.821 0.078 0.475
9 S 0.015 0.264 0.803
10 S 0.015 0.803 0.264
11 Ag 0.147 0.453 0.453

---

First-principles (PBE-GGA) data for Ag5SeS2 after structural relaxation, as listed in Alexandria via LeMat-Bulk.

a b c (Å): 4.937 4.937 7.303
angles (deg): 109.52 109.76 90.00
Fractional positions:
1 S 0.194 0.193 0.387
2 Ag 0.000 0.000 0.000
3 Se 0.500 0.500 0.000
4 Ag 0.367 0.867 0.733
5 Ag 0.867 0.367 0.733
6 Ag 0.133 0.633 0.267
7 S 0.806 0.807 0.613
8 Ag 0.633 0.133 0.267

---

First-principles (PBE-GGA) data for Ag8Se2S after structural relaxation, as listed in Alexandria via LeMat-Bulk.

a b c (Å): 5.407 7.634 7.634
angles (deg): 127.03 77.58 77.58
Fractional positions:
1 Se 0.300 0.480 0.797
2 Ag 0.657 0.505 0.505
3 Ag 0.947 0.983 0.189
4 Ag 0.509 0.806 0.152
5 Ag 0.253 0.290 0.290
6 Se 0.300 0.797 0.480
7 Ag 0.940 0.281 0.657
8 Ag 0.509 0.152 0.806
9 Ag 0.947 0.189 0.983
10 Ag 0.940 0.657 0.281
11 S 0.698 0.896 0.896

---

First-principles (PBE-GGA) data for Ag5SeS2 after structural relaxation, as listed in Alexandria via LeMat-Bulk.

a b c (Å): 4.520 7.032 13.492
angles (deg): 90.00 90.00 108.75
Fractional positions:
1 S 0.134 0.269 0.915
2 Ag 0.760 0.521 0.250
3 S 0.866 0.731 0.085
4 Ag 0.286 0.571 0.065
5 Ag 0.286 0.571 0.435
6 Se 0.845 0.690 0.750
7 Ag 0.714 0.429 0.565
8 S 0.134 0.269 0.585
9 Ag 0.945 0.890 0.589
10 Ag 0.055 0.110 0.411
11 Ag 0.714 0.429 0.935
12 Se 0.155 0.310 0.250
13 Ag 0.055 0.110 0.089
14 S 0.866 0.731 0.415
15 Ag 0.240 0.479 0.750
16 Ag 0.945 0.890 0.911

---

First-principles (PBE-GGA) data for Ag8SeS2 after structural relaxation, as listed in Alexandria via LeMat-Bulk.

a b c (Å): 4.116 7.093 7.494
angles (deg): 102.55 105.94 90.00
Fractional positions:
1 Ag 0.599 0.463 0.199
2 Ag 0.679 0.903 0.358
3 Ag 0.045 0.703 0.090
4 S 0.763 0.295 0.527
5 Se 0.500 0.000 0.000
6 Ag 0.401 0.537 0.801
7 Ag 0.134 0.189 0.268
8 Ag 0.955 0.297 0.910
9 Ag 0.321 0.097 0.642
10 Ag 0.866 0.811 0.732
11 S 0.237 0.705 0.473

---

First-principles (PBE-GGA) data for Ag5SeS after structural relaxation, as listed in Alexandria via LeMat-Bulk.

a b c (Å): 5.078 5.078 10.602
angles (deg): 96.66 96.66 87.10
Fractional positions:
1 Ag 0.484 0.080 0.134
2 Se 0.592 0.408 0.750
3 Ag 0.769 0.535 0.070
4 Ag 0.516 0.920 0.866
5 Ag 0.920 0.516 0.366
6 Ag 0.465 0.231 0.430
7 S 0.000 0.000 0.000
8 Ag 0.535 0.769 0.570
9 Ag 0.231 0.465 0.930
10 Se 0.408 0.592 0.250
11 S 0.000 0.000 0.500
12 Ag 0.995 0.005 0.750
13 Ag 0.080 0.484 0.634
14 Ag 0.005 0.995 0.250

---

no.,formation energy from raw total energies (eV/atom),total DFT energy (no corrections) (eV per atom)
1,0.016,-3.12
2,-0.005,-3.26
3,-0.024,-3.16
4,0.049,-3.09
5,0.397,-3.38
6,0.056,-3.24
7,0.079,-3.77
8,0.162,-3.33
9,0.108,-3.70
10,0.046,-3.04
11,0.289,-3.20
12,-0.023,-3.22
13,0.054,-3.20
14,0.039,-3.04
15,0.041,-3.21
16,0.058,-3.08
17,0.091,-3.03